[1]
Entry from Alexandria: an optimized crystal structure of ReNiSb2 (PBE).

Geometry as POSCAR:
```
ReNiSb2
1.0
-0.017 1.729 -4.389
-1.487 -2.681 -3.586
-4.092 0.976 -2.136
Sb Re Ni
2 1 1
direct
0.000 0.000 0.000
0.250 0.250 0.250
0.750 0.750 0.750
0.500 0.500 0.500
```

Energy above the lowest structure with this stoichiometry = 2.69 eV/f.u.
Space group = F-43m, No. 216

=====

[2]
Entry from Alexandria: an optimized crystal structure of ReNiSb2 (PBE).

Geometry as POSCAR:
```
ReNiSb2
1.0
-2.422 0.248 -5.325
-5.314 -0.578 2.390
-4.296 5.700 -1.000
Sb Re Ni
4 2 2
direct
0.139 0.625 0.250
0.611 0.125 0.250
0.375 0.389 0.750
0.875 0.861 0.750
0.750 0.250 0.500
0.000 0.000 0.000
0.500 0.500 0.000
0.250 0.750 0.500
```

Energy above the lowest structure with this stoichiometry = 2.00 eV/f.u.
Space group = I-42d, No. 122

=====

[3]
Entry from Alexandria: an optimized crystal structure of Re2NiSb (PBE).

Geometry as POSCAR:
```
Re2NiSb
1.0
4.718 -0.006 0.008
3.772 2.835 0.008
0.707 0.236 4.664
Re Ni Sb
2 1 1
direct
0.742 0.742 0.785
0.002 0.002 0.989
0.257 0.257 0.245
0.499 0.499 0.480
```

Space group = Cm, No. 8
Uncorrected energy = -8.293 eV per atom

=====

[4]
Entry from Alexandria: an optimized crystal structure of ReNi2Sb (PBE).

Geometry as POSCAR:
```
ReNi2Sb
1.0
-4.669 0.811 -0.617
-2.472 -0.981 3.970
3.787 2.706 -1.082
Ni Sb Re
2 1 1
direct
0.764 0.264 0.500
0.997 0.997 0.000
0.240 0.740 0.500
0.498 0.498 0.000
```

Space group = Imm2, No. 44
Uncorrected energy = -6.764 eV per atom

=====

[5]
Entry from Alexandria: an optimized crystal structure of ReNiSb2 (PBE).

Geometry as POSCAR:
```
ReNiSb2
1.0
4.502 -0.015 -0.011
3.286 3.077 -0.011
0.883 0.347 5.243
Sb Ni Re
2 1 1
direct
0.990 0.990 0.004
0.510 0.510 0.496
0.750 0.750 0.750
0.250 0.250 0.250
```

Energy above the lowest structure with this stoichiometry = 0.98 eV/f.u.
Space group = C2/m, No. 12

=====

[6]
Entry from Alexandria: an optimized crystal structure of ReNiSb2 (PBE).

Geometry as POSCAR:
```
ReNiSb2
1.0
-1.036 2.999 -7.411
-4.018 1.873 -6.733
-3.107 4.815 -5.670
Sb Re Ni
2 1 1
direct
0.504 0.504 0.504
0.996 0.996 0.996
0.750 0.750 0.750
0.250 0.250 0.250
```

Energy above the lowest structure with this stoichiometry = 0.48 eV/f.u.
Space group = R-3m, No. 166

=====

[7]
Entry from Alexandria: an optimized crystal structure of ReNiSb2 (PBE).

Geometry as POSCAR:
```
ReNiSb2
1.0
-2.342 -1.848 1.550
2.233 -3.255 -0.507
2.423 0.921 4.759
Sb Re Ni
2 1 1
direct
0.000 0.000 0.947
0.500 0.500 0.310
0.500 0.500 0.792
0.000 0.000 0.451
```

Energy above the lowest structure with this stoichiometry = 0.50 eV/f.u.
Space group = Pmm2, No. 25

=====

[8]
Entry from Alexandria: an optimized crystal structure of Re2NiSb (PBE).

Geometry as POSCAR:
```
Re2NiSb
1.0
5.088 0.003 0.003
2.161 4.606 -0.003
-3.168 -3.022 2.591
Sb Ni Re
1 1 2
direct
0.487 0.487 0.000
0.261 0.761 0.500
0.744 0.244 0.500
0.008 0.008 0.000
```

Space group = Imm2, No. 44
Uncorrected energy = -8.256 eV per atom